Entry 1:
This record from Alexandria via LeMat-Bulk describes a PBEsol-optimized structure of CdTeAs4. The functional is meta-GGA SCAN.

Summary:
The calculation puts the formation energy without anion corrections at 0.453 eV/atom. The crystal system is cubic. The value obtained for the calculated density is 7.1 g/cm³.

Cell and atoms, written as POSCAR:
```
CdTeAs4
1.0
0.000 3.987 3.987
3.987 0.000 3.987
3.987 3.987 0.000
Cd Te As
1 1 4
Cartesian
0.000 0.000 0.000
1.993 1.993 1.993
4.955 3.019 3.019
3.019 4.955 3.019
3.019 3.019 4.955
4.955 4.955 4.955
```

Entry 2:
This record from Alexandria via LeMat-Bulk describes a PBEsol-optimized structure of Cd3TeAs. The functional is meta-GGA SCAN.

Summary:
The calculation puts the formation energy without anion corrections at 0.071 eV/atom. The crystal system is cubic. The value obtained for the calculated density is 6.6 g/cm³.

Cell and atoms, written as POSCAR:
```
Cd3TeAs
1.0
5.150 0.000 0.000
0.000 5.150 0.000
0.000 0.000 5.150
Cd Te As
3 1 1
Cartesian
0.000 0.000 2.575
0.000 2.575 0.000
2.575 0.000 0.000
2.575 2.575 2.575
0.000 0.000 0.000
```

Entry 3:
This record from Alexandria via LeMat-Bulk describes a PBEsol-optimized structure of Cd2TeAs. The functional is meta-GGA SCAN.

Summary:
As for the energy above the most stable polymorph in this dataset: 0.81 eV/f.u. The calculation puts the formation energy without anion corrections at 0.201 eV/atom. The crystal system is tetragonal. The value obtained for the calculated density is 7.4 g/cm³.

Cell and atoms, written as POSCAR:
```
Cd2TeAs
1.0
-2.028 2.028 5.827
2.028 -2.028 5.827
2.028 2.028 -5.827
Cd Te As
2 1 1
Cartesian
0.000 0.000 0.000
0.000 2.028 2.914
0.000 0.000 5.827
2.028 0.000 2.914
```